1.
TbErSn | PBE-GGA | optimized geometry

Summary:
E above lowest polymorph	417	meV/atom
energy of formation	-0.173	eV per atom
total magnetic moment	0.0	μB per cell

Cell: 6.015 8.024 8.024 Å, 90.00 90.00 90.00°
Sites, in units of the cell vectors:
Tb  0.000  0.209  0.000
Tb  0.000  0.791  0.000
Tb  0.500  0.000  0.791
Tb  0.500  0.000  0.209
Er  0.500  0.500  0.217
Er  0.500  0.500  0.783
Er  0.000  0.217  0.500
Er  0.000  0.783  0.500
Sn  0.500  0.756  0.500
Sn  0.000  0.500  0.756
Sn  0.000  0.500  0.244
Sn  0.500  0.244  0.500

=====

2.
TbEr2Sn2 | PBE-GGA | optimized geometry

Summary:
energy of formation	-0.557	eV per atom
total magnetic moment	0.0	μB per cell

Cell: 5.182 5.182 6.549 Å, 66.69 66.69 59.99°
Sites, in units of the cell vectors:
Er  0.792  0.292  0.624
Er  0.208  0.708  0.376
Sn  0.409  0.909  0.774
Sn  0.591  0.091  0.226
Tb  0.000  0.500  0.000

=====

3.
TbErSn2 | PBE-GGA | optimized geometry

Summary:
energy of formation	-0.519	eV per atom
total magnetic moment	0.0	μB per cell

Cell: 3.843 3.843 9.201 Å, 77.94 77.94 60.00°
Sites, in units of the cell vectors:
Er  0.000  0.000  0.000
Sn  0.749  0.749  0.753
Sn  0.251  0.251  0.247
Tb  0.500  0.500  0.500

=====

4.
TbErSn | PBE-GGA | optimized geometry

Summary:
E above lowest polymorph	0	meV/atom
energy of formation	-0.589	eV per atom
total magnetic moment	0.0	μB per cell

Cell: 4.556 4.556 8.925 Å, 104.79 104.79 90.00°
Sites, in units of the cell vectors:
Sn  0.636  0.636  0.272
Sn  0.364  0.364  0.728
Tb  0.176  0.176  0.351
Tb  0.824  0.824  0.649
Er  0.500  0.000  0.000
Er  0.000  0.500  0.000

=====

5.
Tb5ErSn4 | PBE-GGA | optimized geometry

Summary:
energy of formation	-0.319	eV per atom
total magnetic moment	0.0	μB per cell

Cell: 3.679 9.561 9.688 Å, 105.71 100.94 90.00°
Sites, in units of the cell vectors:
Tb  0.825  0.641  0.651
Tb  0.165  0.816  0.330
Tb  0.835  0.184  0.670
Tb  0.500  0.500  0.000
Tb  0.175  0.359  0.349
Sn  0.996  0.746  0.991
Sn  0.668  0.088  0.335
Sn  0.332  0.912  0.665
Sn  0.004  0.254  0.009
Er  0.500  0.000  0.000

=====

6.
Tb2ErSn | PBE-GGA | optimized geometry

Summary:
E above lowest polymorph	462	meV/atom
energy of formation	0.043	eV per atom
total magnetic moment	0.0	μB per cell

Cell: 3.503 3.503 12.093 Å, 81.67 81.67 60.00°
Sites, in units of the cell vectors:
Sn  0.000  0.000  0.000
Er  0.500  0.500  0.500
Tb  0.913  0.913  0.262
Tb  0.087  0.087  0.738

=====

7.
TbEr2Sn9 | PBE-GGA | optimized geometry

Summary:
energy of formation	-0.405	eV per atom
total magnetic moment	0.0	μB per cell

Cell: 4.787 4.787 13.660 Å, 90.00 90.00 90.00°
Sites, in units of the cell vectors:
Sn  0.000  0.500  0.168
Sn  0.500  0.000  0.500
Sn  0.500  0.500  0.000
Sn  0.500  0.000  0.168
Sn  0.000  0.500  0.500
Sn  0.000  0.500  0.832
Sn  0.500  0.500  0.666
Sn  0.500  0.000  0.832
Sn  0.500  0.500  0.334
Er  0.000  0.000  0.333
Er  0.000  0.000  0.667
Tb  0.000  0.000  0.000

=====

8.
Tb4Er3Sn4 | PBE-GGA | optimized geometry

Summary:
energy of formation	-0.519	eV per atom
total magnetic moment	0.0	μB per cell

Cell: 3.518 9.530 10.633 Å, 116.63 99.52 90.00°
Sites, in units of the cell vectors:
Tb  0.663  0.843  0.326
Tb  0.337  0.518  0.674
Tb  0.663  0.482  0.326
Tb  0.337  0.157  0.674
Er  0.000  0.500  0.000
Er  0.908  0.908  0.815
Er  0.092  0.092  0.185
Sn  0.728  0.228  0.455
Sn  0.500  0.780  0.000
Sn  0.500  0.220  0.000
Sn  0.272  0.772  0.545

=====

Repeat the fifth record exactly.
Tb5ErSn4 | PBE-GGA | optimized geometry

Summary:
energy of formation	-0.319	eV per atom
total magnetic moment	0.0	μB per cell

Cell: 3.679 9.561 9.688 Å, 105.71 100.94 90.00°
Sites, in units of the cell vectors:
Tb  0.825  0.641  0.651
Tb  0.165  0.816  0.330
Tb  0.835  0.184  0.670
Tb  0.500  0.500  0.000
Tb  0.175  0.359  0.349
Sn  0.996  0.746  0.991
Sn  0.668  0.088  0.335
Sn  0.332  0.912  0.665
Sn  0.004  0.254  0.009
Er  0.500  0.000  0.000